# 1
Computed, not measured: a relaxed structure of Li2H2Pt at the PBE level of DFT.

a = 3.1365 Å, b = 3.1365 Å, c = 10.0661 Å
α = 90.00°, β = 90.00°, γ = 90.00°
Closest atoms and distances in Å follow each position.
Space group I4/mmm (No. 139)
Inequivalent atoms, fractional coordinates:
Li: 0.0000 0.0000 0.1389 x4  1 H 1.97
H: 0.0000 0.0000 0.3345 x4  1 Pt 1.67
Pt: 0.0000 0.0000 0.5000 x2  2 H 1.67

Output
- Uncorrected energy: -3.834 eV per atom

---

# 2
Computed, not measured: a relaxed structure of Pm4CuIr at the PBE level of DFT.

a = 4.9549 Å, b = 4.9451 Å, c = 7.0076 Å
α = 90.00°, β = 90.07°, γ = 90.00°
Closest atoms and distances in Å follow each position.
Space group P2/m (No. 10)
Inequivalent atoms, fractional coordinates:
Pm: 0.9997 0.0000 0.2437 x2  2 Ir 3.01, 2 Cu 3.06
Pm: 0.4988 0.5000 0.2435 x2  2 Ir 3.00-3.01, 2 Cu 3.06
Cu: 0.5000 0.0000 0.5000 x1  8 Pm 3.06
Ir: 0.0000 0.5000 0.0000 x1  8 Pm 3.00-3.01

Output
- Energy of formation from the pure elements: -21.36 kJ per mole of atoms

---

# 3
Computed, not measured: a relaxed structure of LaYAs2Se at the PBE level of DFT.

a = 5.4837 Å, b = 5.4837 Å, c = 5.5738 Å
α = 90.00°, β = 90.00°, γ = 90.00°
Closest atoms and distances in Å follow each position.
Space group P4/mmm (No. 123)
Inequivalent atoms, fractional coordinates:
La: 0.0000 0.0000 0.0000 x1  4 As 2.74, 2 Se 2.79
Y: 0.5000 0.5000 0.5000 x1  4 Se 3.88, 8 As 3.91
As: 0.0000 0.5000 0.0000 x2  2 La 2.74
Se: 0.0000 0.0000 0.5000 x1  2 La 2.79

Output
- Energy relative to the elements, uncorrected: -181 meV/atom

---

# 4
Computed, not measured: a relaxed structure of Pr4Sm9Hg11 at the PBE level of DFT.

a = 16.0508 Å, b = 22.9713 Å, c = 3.6468 Å
α = 90.00°, β = 90.00°, γ = 90.00°
Closest atoms and distances in Å follow each position.
Space group Cmmm (No. 65)
Inequivalent atoms, fractional coordinates:
Pr: 0.1602 0.0855 0.0000 x8  2 Sm 3.24-3.47, 6 Hg 3.33-3.34
Sm: 0.0000 0.0000 0.0000 x2  4 Pr 3.24, 4 Hg 3.57
Sm: 0.1131 0.4077 0.0000 x8  8 Hg 3.25-3.33, 1 Sm 3.63, 1 Pr 3.64
Sm: 0.1171 0.2336 0.0000 x8  8 Hg 3.25-3.48, 1 Pr 3.47
Hg: 0.0000 0.1338 0.5000 x4  4 Pr 3.34, 6 Sm 3.48-3.57, 2 Hg 3.65
Hg: 0.0000 0.3193 0.5000 x4  8 Sm 3.28, 2 Hg 3.65
Hg: 0.0000 0.5000 0.5000 x2  8 Sm 3.33, 4 Hg 3.48-3.65
Hg: 0.2168 0.5000 0.5000 x4  4 Sm 3.25, 4 Pr 3.33, 1 Hg 3.48
Hg: 0.2295 0.3206 0.5000 x8  6 Sm 3.25-3.31, 1 Hg 3.31, 2 Pr 3.33

Output
- Energy of formation from the pure elements: -36.69 kJ per mole of atoms

---

# 5
Computed, not measured: a relaxed structure of SrSiPt2F at the PBE level of DFT.

a = 4.9731 Å, b = 4.9731 Å, c = 3.9967 Å
α = 90.00°, β = 90.00°, γ = 90.00°
Closest atoms and distances in Å follow each position.
Space group P4/mmm (No. 123)
Inequivalent atoms, fractional coordinates:
Sr: 0.0000 0.0000 0.0000 x1  8 Pt 3.19, 4 Si 3.52
Si: 0.5000 0.5000 0.0000 x1  2 F 2.00
Pt: 0.0000 0.5000 0.5000 x2  2 F 2.49
F: 0.5000 0.5000 0.5000 x1  2 Si 2.00

Output
- Energy relative to the elements, uncorrected: -37 meV/atom

---

# 6
Computed, not measured: a relaxed structure of Cs2CuPt2 at the PBE level of DFT.

a = 6.8004 Å, b = 6.8004 Å, c = 5.7658 Å
α = 90.00°, β = 90.00°, γ = 90.00°
Closest atoms and distances in Å follow each position.
Space group P4/mbm (No. 127)
Inequivalent atoms, fractional coordinates:
Cs: 0.1824 0.3176 0.0000 x4  6 Pt 3.37-3.62, 5 Cs 3.51-3.52
Cu: 0.0000 0.0000 0.5000 x2  4 Pt 2.64
Pt: 0.1367 0.6367 0.5000 x4  1 Pt 2.63, 2 Cu 2.64

Output
- Energy of formation from the pure elements: 21.35 kJ per mole of atoms

---

Spin magnetization: 0.00 0.00 0.00 0.00 0.00 0.00 (μB/atom)